[1]
# Tl2SiPd

Tl2SiPd after structural relaxation (GGA-PBE, Alexandria via LeMat-Bulk).

abc: 4.389 4.389 10.030
angles: 77.36 77.36 90.00
Fractional coordinates of all 8 atoms:
Pd1 0.000 0.000 0.000
Pd2 0.750 0.250 0.500
Tl1 0.632 0.125 0.250
Tl2 0.118 0.625 0.250
Tl3 0.875 0.882 0.750
Tl4 0.375 0.368 0.750
Si1 0.500 0.500 0.000
Si2 0.250 0.750 0.500

Output
Its total energy is -3.4597 eV per atom. The calculation puts the theoretical density at 9.82 g cm⁻³. As for the excess energy over the best structure of this formula in the dataset: 0.0388 eV per atom. As for the symmetry: I-42d. Its energy relative to the elements, uncorrected is 36 kJ/mol of atoms.


[2]
# RbTlCoBr6

RbTlCoBr6 after structural relaxation (GGA-PBE, Alexandria via LeMat-Bulk).

abc: 7.351 7.351 7.200
angles: 90.01 89.99 59.98
Fractional coordinates of all 9 atoms:
Rb1 0.000 0.000 0.000
Br1 0.403 0.935 0.699
Br2 0.403 0.662 0.301
Br3 0.935 0.662 0.699
Br4 0.935 0.403 0.301
Br5 0.662 0.403 0.699
Br6 0.662 0.935 0.301
Tl1 0.333 0.333 0.500
Co1 0.667 0.667 0.500

Output
Its total energy is -2.9361 eV per atom. The calculation puts the theoretical density at 4.08 g cm⁻³. As for the symmetry: P312. Its energy relative to the elements, uncorrected is -64 kJ/mol of atoms.


[3]
# CaPOs4

CaPOs4 after structural relaxation (GGA-PBE, Alexandria via LeMat-Bulk).

abc: 5.256 5.256 5.256
angles: 60.00 60.00 60.00
Fractional coordinates of all 6 atoms:
Os1 0.376 0.376 0.376
Os2 0.873 0.376 0.376
Os3 0.376 0.873 0.376
Os4 0.376 0.376 0.873
Ca1 0.000 0.000 0.000
P1 0.750 0.750 0.750

Output
Its total energy is -8.0445 eV per atom. The calculation puts the theoretical density at 13.45 g cm⁻³. As for the symmetry: F-43m. The energy of formation comes out at 65 kJ per mole of atoms.


[4]
# SrOsAu2

SrOsAu2 after structural relaxation (GGA-PBE, Alexandria via LeMat-Bulk).

abc: 7.685 4.878 3.350
angles: 90.01 64.15 129.64
Fractional coordinates of all 4 atoms:
Au1 0.500 0.000 0.500
Au2 0.000 0.000 0.000
Sr1 0.500 0.500 0.000
Os1 0.000 0.500 0.500

Output
Its total energy is -4.5348 eV per atom. The calculation puts the theoretical density at 13.99 g cm⁻³. As for the excess energy over the best structure of this formula in the dataset: 0.0000 eV per atom. As for the symmetry: Cmmm. The energy of formation comes out at 32 kJ per mole of atoms.


[5]
# CsRbTl2As

CsRbTl2As after structural relaxation (GGA-PBE, Alexandria via LeMat-Bulk).

abc: 6.235 4.700 8.102
angles: 106.86 112.63 90.00
Fractional coordinates of all 5 atoms:
Tl1 0.018 0.018 0.036
Tl2 0.699 0.199 0.398
Cs1 0.457 0.457 0.914
As1 0.824 0.824 0.648
Rb1 0.214 0.714 0.428

Output
Its total energy is -2.3990 eV per atom. The calculation puts the theoretical density at 5.60 g cm⁻³. As for the symmetry: Imm2. The energy of formation comes out at -15 kJ per mole of atoms.


[6]
# Tm3CdSn

Tm3CdSn after structural relaxation (GGA-PBE, Alexandria via LeMat-Bulk).

abc: 4.646 6.641 9.317
angles: 90.00 90.00 90.00
Fractional coordinates of all 10 atoms:
Tm1 0.250 0.493 0.291
Tm2 0.250 0.250 0.923
Tm3 0.250 0.007 0.291
Tm4 0.750 0.507 0.709
Tm5 0.750 0.993 0.709
Tm6 0.750 0.750 0.077
Cd1 0.750 0.750 0.421
Cd2 0.250 0.250 0.579
Sn1 0.750 0.250 0.130
Sn2 0.250 0.750 0.870

Output
Its total energy is -3.9318 eV per atom. The calculation puts the theoretical density at 8.53 g cm⁻³. As for the symmetry: Pmmn. The energy of formation comes out at -26 kJ per mole of atoms.


What did the fifth record say?
# CsRbTl2As

CsRbTl2As after structural relaxation (GGA-PBE, Alexandria via LeMat-Bulk).

abc: 6.235 4.700 8.102
angles: 106.86 112.63 90.00
Fractional coordinates of all 5 atoms:
Tl1 0.018 0.018 0.036
Tl2 0.699 0.199 0.398
Cs1 0.457 0.457 0.914
As1 0.824 0.824 0.648
Rb1 0.214 0.714 0.428

Output
Its total energy is -2.3990 eV per atom. The calculation puts the theoretical density at 5.60 g cm⁻³. As for the symmetry: Imm2. The energy of formation comes out at -15 kJ per mole of atoms.


Question: Look up the theoretical density of the first one.
Answer: 9.82 g cm⁻³


Repeat the fifth record exactly.
# CsRbTl2As

CsRbTl2As after structural relaxation (GGA-PBE, Alexandria via LeMat-Bulk).

abc: 6.235 4.700 8.102
angles: 106.86 112.63 90.00
Fractional coordinates of all 5 atoms:
Tl1 0.018 0.018 0.036
Tl2 0.699 0.199 0.398
Cs1 0.457 0.457 0.914
As1 0.824 0.824 0.648
Rb1 0.214 0.714 0.428

Output
Its total energy is -2.3990 eV per atom. The calculation puts the theoretical density at 5.60 g cm⁻³. As for the symmetry: Imm2. The energy of formation comes out at -15 kJ per mole of atoms.